Record 1
# Tb7ErSc4 PBE-GGA optimized geometry
data_Tb7ErSc4
_chemical_formula_sum 'Tb7 Er1 Sc4'
_space_group_name_H-M_alt 'P 1'
_space_group_IT_number 1
_cell_length_a 8.253
_cell_length_b 8.253
_cell_length_c 9.394
_cell_angle_alpha 118.61
_cell_angle_beta 118.61
_cell_angle_gamma 40.79
loop_
_space_group_symop_operation_xyz
'x,y,z'
loop_
_atom_site_label
_atom_site_type_symbol
_atom_site_fract_x
_atom_site_fract_y
_atom_site_fract_z
Tb1 Tb 0.000 0.000 0.000
Tb2 Tb 0.260 0.260 0.725
Tb3 Tb 0.292 0.292 0.118
Tb4 Tb 0.412 0.412 0.554
Tb5 Tb 0.588 0.588 0.446
Tb6 Tb 0.708 0.708 0.882
Tb7 Tb 0.740 0.740 0.275
Er1 Er 0.500 0.500 0.000
Sc1 Sc 0.055 0.055 0.702
Sc2 Sc 0.167 0.167 0.348
Sc3 Sc 0.833 0.833 0.652
Sc4 Sc 0.945 0.945 0.298
# - Energy above the most stable polymorph in this dataset: 0.226 eV/atom
# - ρ: 6.74 Mg/m³
# - ΔH_f (0 K): 247 meV per atom
# - Size of the total moment: 0.433 μB/f.u.
# - Raw total energy: -4.944 eV per atom



Record 2
# NaSrBi2 PBE-GGA optimized geometry
data_NaSrBi2
_chemical_formula_sum 'Na1 Sr1 Bi2'
_space_group_name_H-M_alt 'P 1'
_space_group_IT_number 1
_cell_length_a 5.711
_cell_length_b 5.711
_cell_length_c 5.711
_cell_angle_alpha 60.00
_cell_angle_beta 60.00
_cell_angle_gamma 60.00
loop_
_space_group_symop_operation_xyz
'x,y,z'
loop_
_atom_site_label
_atom_site_type_symbol
_atom_site_fract_x
_atom_site_fract_y
_atom_site_fract_z
Na1 Na 0.000 0.000 0.000
Sr1 Sr 0.500 0.500 0.500
Bi1 Bi 0.250 0.250 0.250
Bi2 Bi 0.750 0.750 0.750
# - Energy above the most stable polymorph in this dataset: 0.095 eV/atom
# - ρ: 6.67 Mg/m³
# - ΔH_f (0 K): -466 meV per atom
# - Size of the total moment: 0.000 μB/f.u.
# - Raw total energy: -3.157 eV per atom



Record 3
# NaCr2InAs PBE-GGA optimized geometry
data_NaCr2InAs
_chemical_formula_sum 'Na1 Cr2 In1 As1'
_space_group_name_H-M_alt 'P 1'
_space_group_IT_number 1
_cell_length_a 5.001
_cell_length_b 5.001
_cell_length_c 5.108
_cell_angle_alpha 90.00
_cell_angle_beta 90.00
_cell_angle_gamma 90.00
loop_
_space_group_symop_operation_xyz
'x,y,z'
loop_
_atom_site_label
_atom_site_type_symbol
_atom_site_fract_x
_atom_site_fract_y
_atom_site_fract_z
Na1 Na 0.000 0.000 0.000
Cr1 Cr 0.000 0.500 0.000
Cr2 Cr 0.500 0.000 0.000
In1 In 0.000 0.000 0.500
As1 As 0.500 0.500 0.500
# - ρ: 4.12 Mg/m³
# - ΔH_f (0 K): 1444 meV per atom
# - Size of the total moment: 9.123 μB/f.u.
# - Raw total energy: -4.147 eV per atom



Record 4
# LiCdAs PBE-GGA optimized geometry
data_LiCdAs
_chemical_formula_sum 'Li1 Cd1 As1'
_space_group_name_H-M_alt 'P 1'
_space_group_IT_number 1
_cell_length_a 5.355
_cell_length_b 5.355
_cell_length_c 5.355
_cell_angle_alpha 147.13
_cell_angle_beta 135.60
_cell_angle_gamma 56.34
loop_
_space_group_symop_operation_xyz
'x,y,z'
loop_
_atom_site_label
_atom_site_type_symbol
_atom_site_fract_x
_atom_site_fract_y
_atom_site_fract_z
Li1 Li 0.000 0.000 0.000
Cd1 Cd 0.318 0.318 0.000
As1 As 0.632 0.632 0.000
# - ρ: 5.57 Mg/m³
# - ΔH_f (0 K): -203 meV per atom
# - Size of the total moment: 0.000 μB/f.u.
# - Raw total energy: -2.696 eV per atom



Record 5
# Ba2CoCu PBE-GGA optimized geometry
data_Ba2CoCu
_chemical_formula_sum 'Ba2 Co1 Cu1'
_space_group_name_H-M_alt 'P 1'
_space_group_IT_number 1
_cell_length_a 8.332
_cell_length_b 8.332
_cell_length_c 8.332
_cell_angle_alpha 149.83
_cell_angle_beta 149.51
_cell_angle_gamma 43.42
loop_
_space_group_symop_operation_xyz
'x,y,z'
loop_
_atom_site_label
_atom_site_type_symbol
_atom_site_fract_x
_atom_site_fract_y
_atom_site_fract_z
Ba1 Ba 0.000 0.000 0.000
Ba2 Ba 0.765 0.265 0.500
Co1 Co 0.404 0.404 0.000
Cu1 Cu 0.349 0.849 0.500
# - Energy above the most stable polymorph in this dataset: 0.033 eV/atom
# - ρ: 4.48 Mg/m³
# - ΔH_f (0 K): 268 meV per atom
# - Size of the total moment: 0.453 μB/f.u.
# - Raw total energy: -3.494 eV per atom



Record 6
# ZrC3 PBE-GGA optimized geometry
data_ZrC3
_chemical_formula_sum 'Zr1 C3'
_space_group_name_H-M_alt 'P 1'
_space_group_IT_number 1
_cell_length_a 3.882
_cell_length_b 3.882
_cell_length_c 3.882
_cell_angle_alpha 60.00
_cell_angle_beta 60.00
_cell_angle_gamma 60.00
loop_
_space_group_symop_operation_xyz
'x,y,z'
loop_
_atom_site_label
_atom_site_type_symbol
_atom_site_fract_x
_atom_site_fract_y
_atom_site_fract_z
Zr1 Zr 0.000 0.000 0.000
C1 C 0.250 0.250 0.250
C2 C 0.500 0.500 0.500
C3 C 0.750 0.750 0.750
# - Energy above the most stable polymorph in this dataset: 1.972 eV/atom
# - ρ: 5.11 Mg/m³
# - ΔH_f (0 K): 2234 meV per atom
# - Size of the total moment: 0.000 μB/f.u.
# - Raw total energy: -6.821 eV per atom



Record 7
# GeNCl PBE-GGA optimized geometry
data_GeNCl
_chemical_formula_sum 'Ge2 N2 Cl2'
_space_group_name_H-M_alt 'P 1'
_space_group_IT_number 1
_cell_length_a 7.039
_cell_length_b 7.039
_cell_length_c 6.473
_cell_angle_alpha 107.90
_cell_angle_beta 107.90
_cell_angle_gamma 27.30
loop_
_space_group_symop_operation_xyz
'x,y,z'
loop_
_atom_site_label
_atom_site_type_symbol
_atom_site_fract_x
_atom_site_fract_y
_atom_site_fract_z
Ge1 Ge 0.177 0.177 0.035
Ge2 Ge 0.823 0.823 0.965
N1 N 0.327 0.327 0.104
N2 N 0.673 0.673 0.896
Cl1 Cl 0.107 0.107 0.288
Cl2 Cl 0.893 0.893 0.712
# - Energy above the most stable polymorph in this dataset: 0.000 eV/atom
# - Formation energy without anion corrections: -0.15 eV per atom
# - ρ: 2.91 Mg/m³
# - Size of the total moment: 0.000 μB/f.u.
# - Raw total energy: -5.078 eV per atom



Record 8
# ZrCrCl2 PBE-GGA optimized geometry
data_ZrCrCl2
_chemical_formula_sum 'Zr1 Cr1 Cl2'
_space_group_name_H-M_alt 'P 1'
_space_group_IT_number 1
_cell_length_a 10.510
_cell_length_b 10.510
_cell_length_c 10.510
_cell_angle_alpha 17.83
_cell_angle_beta 17.83
_cell_angle_gamma 17.83
loop_
_space_group_symop_operation_xyz
'x,y,z'
loop_
_atom_site_label
_atom_site_type_symbol
_atom_site_fract_x
_atom_site_fract_y
_atom_site_fract_z
Zr1 Zr 0.000 0.000 0.000
Cr1 Cr 0.500 0.500 0.500
Cl1 Cl 0.274 0.274 0.274
Cl2 Cl 0.726 0.726 0.726
# - Energy above the most stable polymorph in this dataset: 0.190 eV/atom
# - Formation energy without anion corrections: -0.50 eV per atom
# - ρ: 3.74 Mg/m³
# - Size of the total moment: 4.893 μB/f.u.
# - Raw total energy: -5.964 eV per atom



Record 9
# PrDyCd2 PBE-GGA optimized geometry
data_PrDyCd2
_chemical_formula_sum 'Pr1 Dy1 Cd2'
_space_group_name_H-M_alt 'P 1'
_space_group_IT_number 1
_cell_length_a 3.770
_cell_length_b 3.770
_cell_length_c 7.803
_cell_angle_alpha 90.00
_cell_angle_beta 90.00
_cell_angle_gamma 90.00
loop_
_space_group_symop_operation_xyz
'x,y,z'
loop_
_atom_site_label
_atom_site_type_symbol
_atom_site_fract_x
_atom_site_fract_y
_atom_site_fract_z
Pr1 Pr 0.000 0.000 0.000
Dy1 Dy 0.000 0.000 0.500
Cd1 Cd 0.500 0.500 0.269
Cd2 Cd 0.500 0.500 0.731
# - Energy above the most stable polymorph in this dataset: 0.000 eV/atom
# - ρ: 7.91 Mg/m³
# - ΔH_f (0 K): -315 meV per atom
# - Size of the total moment: 0.552 μB/f.u.
# - Raw total energy: -3.118 eV per atom



Record 10
# LiMnFe2 PBE-GGA optimized geometry
data_LiMnFe2
_chemical_formula_sum 'Li1 Mn1 Fe2'
_space_group_name_H-M_alt 'P 1'
_space_group_IT_number 1
_cell_length_a 4.619
_cell_length_b 4.619
_cell_length_c 4.619
_cell_angle_alpha 144.91
_cell_angle_beta 128.64
_cell_angle_gamma 63.73
loop_
_space_group_symop_operation_xyz
'x,y,z'
loop_
_atom_site_label
_atom_site_type_symbol
_atom_site_fract_x
_atom_site_fract_y
_atom_site_fract_z
Li1 Li 0.000 0.000 0.000
Mn1 Mn 0.500 0.500 0.000
Fe1 Fe 0.257 0.757 0.500
Fe2 Fe 0.743 0.243 0.500
# - Energy above the most stable polymorph in this dataset: 0.119 eV/atom
# - ρ: 6.59 Mg/m³
# - ΔH_f (0 K): 324 meV per atom
# - Size of the total moment: 4.234 μB/f.u.
# - Raw total energy: -6.678 eV per atom



Record 11
# Cd2SiC PBE-GGA optimized geometry
data_Cd2SiC
_chemical_formula_sum 'Cd2 Si1 C1'
_space_group_name_H-M_alt 'P 1'
_space_group_IT_number 1
_cell_length_a 4.607
_cell_length_b 4.607
_cell_length_c 4.607
_cell_angle_alpha 60.00
_cell_angle_beta 60.00
_cell_angle_gamma 60.00
loop_
_space_group_symop_operation_xyz
'x,y,z'
loop_
_atom_site_label
_atom_site_type_symbol
_atom_site_fract_x
_atom_site_fract_y
_atom_site_fract_z
Cd1 Cd 0.250 0.250 0.250
Cd2 Cd 0.750 0.750 0.750
Si1 Si 0.000 0.000 0.000
C1 C 0.500 0.500 0.500
# - Energy above the most stable polymorph in this dataset: 0.130 eV/atom
# - Formation energy without anion corrections: 1.46 eV per atom
# - ρ: 6.36 Mg/m³
# - Size of the total moment: 0.000 μB/f.u.
# - Raw total energy: -2.656 eV per atom



Record 12
# AgB PBE-GGA optimized geometry
data_AgB
_chemical_formula_sum 'Ag2 B2'
_space_group_name_H-M_alt 'P 1'
_space_group_IT_number 1
_cell_length_a 4.423
_cell_length_b 4.423
_cell_length_c 3.199
_cell_angle_alpha 90.00
_cell_angle_beta 90.00
_cell_angle_gamma 90.00
loop_
_space_group_symop_operation_xyz
'x,y,z'
loop_
_atom_site_label
_atom_site_type_symbol
_atom_site_fract_x
_atom_site_fract_y
_atom_site_fract_z
Ag1 Ag 0.000 0.500 0.000
Ag2 Ag 0.500 0.000 0.000
B1 B 0.000 0.000 0.250
B2 B 0.000 0.000 0.750
# - Energy above the most stable polymorph in this dataset: 0.000 eV/atom
# - ρ: 6.30 Mg/m³
# - ΔH_f (0 K): 377 meV per atom
# - Size of the total moment: 0.000 μB/f.u.
# - Raw total energy: -4.388 eV per atom



Question: What is the size of the total moment in the ninth record?
Answer: 0.552 μB/f.u.



Question: The highest raw total energy belongs to which entry?
Answer: Cd2SiC



Question: The lowest ρ belongs to which entry?
Answer: GeNCl



Question: What is the formula in the second record?
Answer: NaSrBi2